# Pm4Nd2ErSc (GGA-PBE, relaxed)
# **ΔH_f (0 K)**: 30 meV/atom
# **Crystal system**: monoclinic
data_Pm4Nd2ErSc
_symmetry_space_group_name_H-M 'P 1'
_symmetry_Int_Tables_number 1
_symmetry_space_group_name_Hall 'P 1'
_cell_length_a 5.103
_cell_length_b 5.081
_cell_length_c 11.315
_cell_angle_alpha 63.25
_cell_angle_beta 90.00
_cell_angle_gamma 90.00
loop_
_atom_site_label
_atom_site_fract_x
_atom_site_fract_y
_atom_site_fract_z
Pm1 0.000 0.755 0.745
Pm2 0.000 0.245 0.255
Pm3 0.500 0.746 0.254
Pm4 0.500 0.254 0.746
Nd1 0.000 0.000 0.000
Nd2 0.500 0.000 0.500
Er1 0.500 0.500 0.000
Sc1 0.000 0.500 0.500